Entry from the Alexandria database: crystalline ZrCu3Pd at its relaxed geometry (PBE-GGA).

Structure (POSCAR):
```
ZrCu3Pd
1.0
4.579 0.000 0.000
0.000 4.579 0.000
0.000 0.000 4.579
Zr Cu Pd
1 3 1
Direct
0.000 0.000 0.000
0.000 0.500 0.500
0.500 0.000 0.500
0.500 0.500 0.000
0.500 0.500 0.500
```

Properties
Distance to the lowest polymorph of the same formula, eV/atom: 0.913
Uncorrected energy, eV per atom: -4.487